1.
Here is an optimized crystal structure of Ce2H2I from Alexandria. Energies are from PBE-GGA.

CIF file:
```
data_Ce2H2I
_chemical_formula_sum 'Ce4 H4 I2'
_cell_length_a 3.730
_cell_length_b 3.730
_cell_length_c 14.261
_cell_angle_alpha 90.00
_cell_angle_beta 90.00
_cell_angle_gamma 90.00
_space_group_name_H-M_alt 'I 4/m m m'
_space_group_IT_number 139
_space_group_name_Hall '-I 4 2'
loop_
_atom_site_label
_atom_site_fract_x
_atom_site_fract_y
_atom_site_fract_z
Ce1 0.000 0.000 0.153
H1 0.000 0.500 0.250
I1 0.000 0.000 0.500
```

Energy in eV for the cell shown: -46.18
Total magnetization in μB/f.u.: 2.7
Volume in Å³/atom: 19.84

2.
Here is an optimized crystal structure of Ce4H2I5 from Alexandria. Energies are from PBE-GGA.

CIF file:
```
data_Ce4H2I5
_chemical_formula_sum 'Ce8 H4 I10'
_cell_length_a 19.138
_cell_length_b 4.119
_cell_length_c 9.136
_cell_angle_alpha 90.00
_cell_angle_beta 103.15
_cell_angle_gamma 90.00
_space_group_name_H-M_alt 'C 1 2/m 1'
_space_group_IT_number 12
loop_
_space_group_symop_operation_xyz
'x,y,z'
'-x,-y,-z'
'-x,y,-z'
'x,-y,z'
'x+1/2,y+1/2,z'
'-x+1/2,-y+1/2,-z'
'-x+1/2,y+1/2,-z'
'x+1/2,-y+1/2,z'
loop_
_atom_site_label
_atom_site_fract_x
_atom_site_fract_y
_atom_site_fract_z
Ce1 0.005 0.000 0.289
Ce2 0.140 0.500 0.566
H1 0.042 0.500 0.377
I1 0.000 0.500 0.000
I2 0.165 0.000 0.842
I3 0.177 0.000 0.320
```

Energy in eV for the cell shown: -96.49
Total magnetization in μB/f.u.: 5.0
Volume in Å³/atom: 31.88

3.
Here is an optimized crystal structure of Ce2H2I7 from Alexandria. Energies are from PBE-GGA.

CIF file:
```
data_Ce2H2I7
_chemical_formula_sum 'Ce4 H4 I14'
_cell_length_a 12.175
_cell_length_b 10.464
_cell_length_c 8.355
_cell_angle_alpha 90.00
_cell_angle_beta 123.95
_cell_angle_gamma 90.00
_space_group_name_H-M_alt 'C 1 2/m 1'
_space_group_IT_number 12
loop_
_space_group_symop_operation_xyz
'x,y,z'
'-x,-y,-z'
'-x,y,-z'
'x,-y,z'
'x+1/2,y+1/2,z'
'-x+1/2,-y+1/2,-z'
'-x+1/2,y+1/2,-z'
'x+1/2,-y+1/2,z'
loop_
_atom_site_label
_atom_site_fract_x
_atom_site_fract_y
_atom_site_fract_z
Ce1 0.221 0.000 0.092
H1 0.000 0.317 0.000
I1 0.000 0.500 0.500
I2 0.062 0.000 0.297
I3 0.191 0.312 0.159
```

Energy in eV for the cell shown: -75.83
Total magnetization in μB/f.u.: 3.0
Volume in Å³/atom: 40.13

4.
Here is an optimized crystal structure of CeH2I from Alexandria. Energies are from PBE-GGA.

CIF file:
```
data_CeH2I
_chemical_formula_sum 'Ce1 H2 I1'
_cell_length_a 3.360
_cell_length_b 3.360
_cell_length_c 6.508
_cell_angle_alpha 90.00
_cell_angle_beta 90.00
_cell_angle_gamma 90.00
_space_group_name_H-M_alt 'P 4/m m m'
_space_group_IT_number 123
_space_group_name_Hall '-P 4 2'
loop_
_atom_site_label
_atom_site_fract_x
_atom_site_fract_y
_atom_site_fract_z
Ce1 0.000 0.000 0.000
H1 0.500 0.500 0.142
I1 0.000 0.000 0.500
```

Energy in eV for the cell shown: -15.01
Polymorph energy (0 for the lowest one) in eV/atom: 0.572
Total magnetization in μB/f.u.: 1.4
Volume in Å³/atom: 18.36

5.
Here is an optimized crystal structure of Ce3HI7 from Alexandria. Energies are from PBE-GGA.

CIF file:
```
data_Ce3HI7
_chemical_formula_sum 'Ce3 H1 I7'
_cell_length_a 8.8171
_cell_length_b 8.8171
_cell_length_c 7.5119
_cell_angle_alpha 90.00
_cell_angle_beta 90.00
_cell_angle_gamma 120.00
_space_group_name_H-M_alt 'P 3 m 1'
_space_group_IT_number 156
loop_
_space_group_symop_operation_xyz
'x,y,z'
'-y,x-y,z'
'-x+y,-x,z'
'-y,-x,z'
'-x+y,y,z'
'x,x-y,z'
loop_
_atom_site_label
_atom_site_fract_x
_atom_site_fract_y
_atom_site_fract_z
Ce1 0.0216 0.5108 0.0000
H1 0.3333 0.6667 0.0667
I1 0.1652 0.3304 0.7437
I2 0.3333 0.1666 0.2378
I3 0.6667 0.3333 0.7573
```

Energy in eV for the cell shown: -44.53
Total magnetization in μB/f.u.: 4.0
Volume in Å³/atom: 45.98

6.
Here is an optimized crystal structure of CeH4I5 from Alexandria. Energies are from PBE-GGA.

CIF file:
```
data_CeH4I5
_chemical_formula_sum 'Ce2 H8 I10'
_cell_length_a 11.011
_cell_length_b 11.011
_cell_length_c 6.183
_cell_angle_alpha 90.00
_cell_angle_beta 90.00
_cell_angle_gamma 90.00
_space_group_name_H-M_alt 'I 4'
_space_group_IT_number 79
loop_
_space_group_symop_operation_xyz
'x,y,z'
'-y,x,z'
'-x,-y,z'
'y,-x,z'
'x+1/2,y+1/2,z+1/2'
'-y+1/2,x+1/2,z+1/2'
'-x+1/2,-y+1/2,z+1/2'
'y+1/2,-x+1/2,z+1/2'
loop_
_atom_site_label
_atom_site_fract_x
_atom_site_fract_y
_atom_site_fract_z
Ce1 0.000 0.000 0.000
H1 0.015 0.531 0.772
I1 0.000 0.000 0.500
I2 0.147 0.772 0.000
```

Energy in eV for the cell shown: -63.79
Total magnetization in μB/f.u.: 0.0
Volume in Å³/atom: 37.48

7.
Here is an optimized crystal structure of Ce2HI8 from Alexandria. Energies are from PBE-GGA.

CIF file:
```
data_Ce2HI8
_chemical_formula_sum 'Ce4 H2 I16'
_cell_length_a 9.696
_cell_length_b 14.359
_cell_length_c 6.252
_cell_angle_alpha 90.00
_cell_angle_beta 99.01
_cell_angle_gamma 90.00
_space_group_name_H-M_alt 'C 1 2/m 1'
_space_group_IT_number 12
loop_
_space_group_symop_operation_xyz
'x,y,z'
'-x,-y,-z'
'-x,y,-z'
'x,-y,z'
'x+1/2,y+1/2,z'
'-x+1/2,-y+1/2,-z'
'-x+1/2,y+1/2,-z'
'x+1/2,-y+1/2,z'
loop_
_atom_site_label
_atom_site_fract_x
_atom_site_fract_y
_atom_site_fract_z
Ce1 0.000 0.183 0.000
H1 0.000 0.500 0.500
I1 0.000 0.244 0.500
I2 0.092 0.000 0.279
I3 0.194 0.366 0.080
```

Energy in eV for the cell shown: -71.85
Total magnetization in μB/f.u.: 1.2
Volume in Å³/atom: 39.08

8.
Here is an optimized crystal structure of CeH2I from Alexandria. Energies are from PBE-GGA.

CIF file:
```
data_CeH2I
_chemical_formula_sum 'Ce2 H4 I2'
_cell_length_a 3.988
_cell_length_b 6.254
_cell_length_c 5.723
_cell_angle_alpha 90.00
_cell_angle_beta 90.00
_cell_angle_gamma 90.00
_space_group_name_H-M_alt 'P m m n'
_space_group_IT_number 59
loop_
_space_group_symop_operation_xyz
'x,y,z'
'-x,-y,-z'
'-x+1/2,-y+1/2,z'
'x+1/2,y+1/2,-z'
'x+1/2,-y,-z'
'-x+1/2,y,z'
'-x,y+1/2,-z'
'x,-y+1/2,z'
loop_
_atom_site_label
_atom_site_fract_x
_atom_site_fract_y
_atom_site_fract_z
Ce1 0.250 0.250 0.122
H1 0.250 0.558 0.908
I1 0.250 0.750 0.392
```

Energy in eV for the cell shown: -34.59
Polymorph energy (0 for the lowest one) in eV/atom: 0.000
Total magnetization in μB/f.u.: 1.0
Volume in Å³/atom: 17.84